Material: BSbMo2Br
Method: DFT, PBE-GGA
State: relaxed

Values from the calculation:
- energy relative to the elements, uncorrected (eV/atom) = 1.796
- symmetry = P4/mmm, No. 123
- total magnetization (μB per cell) = 0.90
- theoretical density (g/cm3) = 7.4

a b c (Å): 4.806 4.806 3.950
angles (deg): 90.00 90.00 90.00
Atoms (fractional coordinates):
B 0.000 0.000 0.000
Sb 0.500 0.500 0.000
Mo 0.000 0.500 0.500
Mo 0.500 0.000 0.500
Br 0.000 0.000 0.500



Material: Y2PaP
Method: DFT, PBE-GGA
State: relaxed

Values from the calculation:
- symmetry = R-3m, No. 166
- ΔE_f (meV/atom) = -247
- total magnetization (μB per cell) = 0.01
- theoretical density (g/cm3) = 6.6

a b c (Å): 10.329 10.329 10.329
angles (deg): 19.88 19.88 19.88
Atoms (fractional coordinates):
Y 0.110 0.110 0.110
Y 0.890 0.890 0.890
Pa 0.000 0.000 0.000
P 0.500 0.500 0.500



Material: Cs4RbF
Method: DFT, PBE-GGA
State: relaxed

Values from the calculation:
- energy relative to the elements, uncorrected (eV/atom) = -0.870
- symmetry = I-4, No. 82
- total magnetization (μB per cell) = 0.00
- theoretical density (g/cm3) = 2.0

a b c (Å): 9.069 9.069 9.069
angles (deg): 100.61 100.61 129.17
Atoms (fractional coordinates):
Cs 0.105 0.204 0.735
Cs 0.469 0.371 0.265
Cs 0.629 0.895 0.098
Cs 0.796 0.531 0.902
Rb 0.250 0.750 0.500
F 0.500 0.500 0.000



- What is the total magnetization in the second record?
  0.01 μB per cell